No. 1
Computed, not measured: a relaxed structure of Pm5Ge2Ir at the PBE-GGA level of DFT.

Its energy relative to the elements is -0.62 eV/atom.

The space group is I4/mcm (No. 140) and the conventional cell measures 7.5701, 7.5701 and 14.7277 Å, with angles of 90.00, 90.00 and 90.00 degrees. The distinct sites, in fractional coordinates, are Pm at (0.0000, 0.0000, 0.0000), Pm at (0.1770, 0.3230, 0.1481), Ge at (0.1221, 0.3779, 0.5000) and Ir at (0.0000, 0.0000, 0.2500).

***

No. 2
Computed, not measured: a relaxed structure of TbTl2SnTe4 at the PBE-GGA level of DFT.

Its formation energy without anion corrections is -5.15 eV/f.u.

The space group is P2/m (No. 10) and the conventional cell measures 7.9202, 4.4059 and 8.3806 Å, with angles of 90.00, 107.98 and 90.00 degrees. The distinct sites, in fractional coordinates, are Tb at (0.0000, 0.0000, 0.0000), Tl at (0.0000, 0.5000, 0.5000), Tl at (0.5000, 0.0000, 0.5000), Sn at (0.5000, 0.5000, 0.0000), Te at (0.2374, 0.5000, 0.2162) and Te at (0.2560, 0.0000, 0.7821).

***

No. 3
Computed, not measured: a relaxed structure of KBe3Ir at the PBE-GGA level of DFT.

Its energy relative to the elements is 0.19 eV/atom.

The space group is Pm-3m (No. 221) and the conventional cell measures 4.4410, 4.4410 and 4.4410 Å, with angles of 90.00, 90.00 and 90.00 degrees. The distinct sites, in fractional coordinates, are K at (0.0000, 0.0000, 0.0000), Be at (0.0000, 0.5000, 0.5000) and Ir at (0.5000, 0.5000, 0.5000).

***

No. 4
Computed, not measured: a relaxed structure of TaHg2Os at the PBE-GGA level of DFT.

Its energy relative to the elements is 0.67 eV/atom.

The space group is F-43m (No. 216) and the conventional cell measures 6.6520, 6.6520 and 6.6520 Å, with angles of 90.00, 90.00 and 90.00 degrees. The distinct sites, in fractional coordinates, are Ta at (0.0000, 0.0000, 0.0000), Hg at (0.0000, 0.0000, 0.5000), Hg at (0.2500, 0.2500, 0.2500) and Os at (0.2500, 0.2500, 0.7500).

***

No. 5
Computed, not measured: a relaxed structure of Pr3Dy2Cd2 at the PBE-GGA level of DFT.

Its energy relative to the elements is -0.06 eV/atom.

The space group is Cmmm (No. 65) and the conventional cell measures 5.1528, 23.4306 and 3.5327 Å, with angles of 90.00, 90.00 and 90.00 degrees. The distinct sites, in fractional coordinates, are Pr at (0.0000, 0.0000, 0.0000), Pr at (0.0000, 0.1454, 0.0000), Dy at (0.0000, 0.2898, 0.5000) and Cd at (0.0000, 0.4305, 0.5000).

***

No. 6
Computed, not measured: a relaxed structure of ScCu2SiSb at the PBE-GGA level of DFT.

Its formation energy without anion corrections is 0.04 eV/f.u.

The space group is P4/mmm (No. 123) and the conventional cell measures 4.4123, 4.4123 and 5.1225 Å, with angles of 90.00, 90.00 and 90.00 degrees. The distinct sites, in fractional coordinates, are Sc at (0.0000, 0.0000, 0.0000), Cu at (0.0000, 0.5000, 0.5000), Si at (0.0000, 0.0000, 0.5000) and Sb at (0.5000, 0.5000, 0.0000).

***

Short version: final energy = -5.849; -3.885; -4.038; -5.252; -3.682; -4.806 eV/atom, in the order given.